{"formula": "Al3TlGe", "functional": "PBE", "state": "relaxed", "dos_ef_per_ev_cell": 4.299, "final_energy_ha_per_atom": -0.0945, "m_tot_mub_per_fu": 0.0, "relative_energy_ev_per_atom": 0.530, "cell": [[5.208, 0.000, 0.000], [0.000, 5.208, 0.000], [0.000, 0.000, 5.208]], "species": ["Al", "Al", "Al", "Tl", "Ge"], "frac_coords": [[0.000, 0.000, 0.500], [0.000, 0.500, 0.000], [0.500, 0.000, 0.000], [0.000, 0.000, 0.000], [0.500, 0.500, 0.500]]}

{"formula": "KY2InCl", "functional": "PBE", "state": "relaxed", "dos_ef_per_ev_cell": 6.075, "raw_formation_energy_mev_per_atom": 1036, "final_energy_ha_per_atom": -0.0987, "m_tot_mub_per_fu": 0.0, "cell": [[5.980, 0.000, 0.000], [0.000, 5.980, 0.000], [0.000, 0.000, 5.550]], "species": ["K", "Y", "Y", "In", "Cl"], "frac_coords": [[0.000, 0.000, 0.000], [0.000, 0.500, 0.000], [0.500, 0.000, 0.000], [0.000, 0.000, 0.500], [0.500, 0.500, 0.500]]}

{"formula": "GaBiI2", "functional": "PBE", "state": "relaxed", "dos_ef_per_ev_cell": 4.001, "raw_formation_energy_mev_per_atom": 102, "final_energy_ha_per_atom": -0.0882, "m_tot_mub_per_fu": 0.0, "relative_energy_ev_per_atom": 0.032, "cell": [[0.000, 4.005, 4.005], [4.005, 0.000, 4.005], [4.005, 4.005, 0.000]], "species": ["Ga", "Bi", "I", "I"], "frac_coords": [[0.000, 0.000, 0.000], [0.500, 0.500, 0.500], [0.250, 0.250, 0.250], [0.750, 0.750, 0.750]]}

{"formula": "Cs2RbCd2F7", "functional": "PBE", "state": "relaxed", "dos_ef_per_ev_cell": 0.000, "raw_formation_energy_mev_per_atom": -2504, "final_energy_ha_per_atom": -0.1459, "m_tot_mub_per_fu": 0.0, "cell": [[-2.271, 2.271, 11.907], [2.271, -2.271, 11.907], [2.271, 2.271, -11.907]], "species": ["Cs", "Cs", "Rb", "Cd", "Cd", "F", "F", "F", "F", "F", "F", "F"], "frac_coords": [[0.185, 0.185, 0.000], [0.815, 0.815, 0.000], [0.000, 0.000, 0.000], [0.406, 0.406, 0.000], [0.594, 0.594, 0.000], [0.092, 0.592, 0.500], [0.311, 0.311, 0.000], [0.408, 0.908, 0.500], [0.500, 0.500, 0.000], [0.592, 0.092, 0.500], [0.689, 0.689, 0.000], [0.908, 0.408, 0.500]]}

{"formula": "CaHgIr", "functional": "PBE", "state": "relaxed", "dos_ef_per_ev_cell": 2.649, "final_energy_ha_per_atom": -0.1465, "m_tot_mub_per_fu": 0.0, "cell": [[4.494, 0.000, 0.000], [-0.007, 5.527, 0.000], [-2.242, -1.164, 5.855]], "species": ["Ca", "Ca", "Hg", "Hg", "Ir", "Ir"], "frac_coords": [[0.119, 0.323, 0.239], [0.881, 0.677, 0.761], [0.412, 0.280, 0.825], [0.588, 0.720, 0.175], [0.220, 0.908, 0.440], [0.780, 0.092, 0.560]]}

{"formula": "CuSiTc2", "functional": "PBE", "state": "relaxed", "dos_ef_per_ev_cell": 3.077, "raw_formation_energy_mev_per_atom": -75, "final_energy_ha_per_atom": -0.2807, "m_tot_mub_per_fu": 0.0, "cell": [[2.917, 0.000, 0.000], [0.000, 2.917, 0.000], [0.000, 0.000, 6.255]], "species": ["Cu", "Si", "Tc", "Tc"], "frac_coords": [[0.000, 0.000, 0.000], [0.500, 0.500, 0.210], [0.000, 0.000, 0.451], [0.500, 0.500, 0.719]]}